# 1
# GGA-PBE Cs2SnBr2F4, relaxed
# Energy, eV/atom: -4.072
# Crystal system: tetragonal
# DOS(E_F), states/eV/cell: 0.000
# ΔE_f (raw), meV/atom: -2234
# Magnetization, μB/f.u.: 0.00
data_Cs2SnBr2F4
_cell_length_a 7.424
_cell_length_b 7.424
_cell_length_c 9.024
_cell_angle_alpha 90.00
_cell_angle_beta 90.00
_cell_angle_gamma 90.00
_symmetry_space_group_name_H-M 'I 4/m m m'
_symmetry_Int_Tables_number 139
_symmetry_space_group_name_Hall '-I 4 2'
loop_
_atom_site_label
_atom_site_type_symbol
_atom_site_fract_x
_atom_site_fract_y
_atom_site_fract_z
Cs1 Cs 0.000 0.500 0.250
Sn1 Sn 0.000 0.000 0.000
Br1 Br 0.000 0.000 0.288
F1 F 0.193 0.193 0.000

---

# 2
# GGA-PBE Cs2SrBr2F2, relaxed
# Energy, eV/atom: -4.112
# Crystal system: tetragonal
# DOS(E_F), states/eV/cell: 0.000
# ΔE_f (raw), meV/atom: -2615
# Magnetization, μB/f.u.: 0.00
data_Cs2SrBr2F2
_cell_length_a 4.971
_cell_length_b 4.971
_cell_length_c 18.495
_cell_angle_alpha 90.00
_cell_angle_beta 90.00
_cell_angle_gamma 90.00
_symmetry_space_group_name_H-M 'I 4/m m m'
_symmetry_Int_Tables_number 139
_symmetry_space_group_name_Hall '-I 4 2'
loop_
_atom_site_label
_atom_site_type_symbol
_atom_site_fract_x
_atom_site_fract_y
_atom_site_fract_z
Cs1 Cs 0.000 0.000 0.131
Sr1 Sr 0.000 0.000 0.500
Br1 Br 0.000 0.000 0.333
F1 F 0.000 0.500 0.000

---

Q: Among the records above, which one has the lowest ΔE_f (raw)?
A: Cs2SrBr2F2

---

Q: Look up the energy of the second one.
A: -4.112 eV/atom